1.
# KTaIn2 (meta-GGA SCAN, PBEsol geometry)
# Mass density: 7.07 g/cm3
# DOS(E_F): 0.485 states/eV/atom
# Magnetic moment: 0.00 μB/cell
# Raw total energy: -35.0503 eV/atom
data_KTaIn2
_chemical_formula_sum 'K1 Ta1 In2'
_cell_length_a 4.930
_cell_length_b 4.930
_cell_length_c 7.579
_cell_angle_alpha 94.58
_cell_angle_beta 94.58
_cell_angle_gamma 35.14
_space_group_name_H-M_alt 'P 1'
_space_group_IT_number 1
loop_
_space_group_symop_operation_xyz
'x,y,z'
loop_
_atom_site_label
_atom_site_type_symbol
_atom_site_fract_x
_atom_site_fract_y
_atom_site_fract_z
K1 K 0.000 0.000 0.000
Ta1 Ta 0.500 0.500 0.500
In1 In 0.243 0.243 0.685
In2 In 0.757 0.757 0.315

***

2.
# SrSb2 (meta-GGA SCAN, PBEsol geometry)
# Mass density: 5.47 g/cm3
# DOS(E_F): 0.385 states/eV/atom
# Formation energy from raw total energies: -0.70 eV/atom
# Magnetic moment: 0.00 μB/cell
data_SrSb2
_chemical_formula_sum 'Sr1 Sb2'
_cell_length_a 4.436
_cell_length_b 4.436
_cell_length_c 5.107
_cell_angle_alpha 90.00
_cell_angle_beta 90.00
_cell_angle_gamma 90.00
_space_group_name_H-M_alt 'P 1'
_space_group_IT_number 1
loop_
_space_group_symop_operation_xyz
'x,y,z'
loop_
_atom_site_label
_atom_site_type_symbol
_atom_site_fract_x
_atom_site_fract_y
_atom_site_fract_z
Sr1 Sr 0.000 0.000 0.000
Sb1 Sb 0.000 0.500 0.500
Sb2 Sb 0.500 0.000 0.500

***

3.
# AlIn2Sb (meta-GGA SCAN, PBEsol geometry)
# Mass density: 6.56 g/cm3
# DOS(E_F): 0.558 states/eV/atom
# Formation energy from raw total energies: 0.22 eV/atom
# Magnetic moment: 0.00 μB/cell
data_AlIn2Sb
_chemical_formula_sum 'Al1 In2 Sb1'
_cell_length_a 5.136
_cell_length_b 5.136
_cell_length_c 5.136
_cell_angle_alpha 60.00
_cell_angle_beta 60.00
_cell_angle_gamma 60.00
_space_group_name_H-M_alt 'P 1'
_space_group_IT_number 1
loop_
_space_group_symop_operation_xyz
'x,y,z'
loop_
_atom_site_label
_atom_site_type_symbol
_atom_site_fract_x
_atom_site_fract_y
_atom_site_fract_z
Al1 Al 0.000 0.000 0.000
In1 In 0.500 0.500 0.500
In2 In 0.750 0.750 0.750
Sb1 Sb 0.250 0.250 0.250